Record 1
An optimized crystal structure of CsGdAlTe3. Source: the Open Quantum Materials Database, functional PBE-GGA.

Cell: 8.6184 8.6184 11.8085 Å, 90.00 90.00 147.32°
With the nearest neighbours (Å) after each atom.
Atoms (fractional coordinates):
Al  0.0207  0.9793  0.2500  4 Te 2.72-2.76
Al  0.9793  0.0207  0.7500  4 Te 2.72-2.76
Cs  0.7542  0.2458  0.2500  8 Te 3.93-4.27
Cs  0.2458  0.7542  0.7500  8 Te 3.93-4.27
Gd  0.5000  0.5000  0.0000  6 Te 3.11-3.20
Gd  0.5000  0.5000  0.5000  6 Te 3.11-3.20
Te  0.1176  0.8824  0.0641  1 Al 2.72
Te  0.4413  0.5587  0.2500  2 Al 2.76
Te  0.1176  0.8824  0.4359  1 Al 2.72
Te  0.8824  0.1176  0.5641  1 Al 2.72
Te  0.5587  0.4413  0.7500  2 Al 2.76
Te  0.8824  0.1176  0.9359  1 Al 2.72

Values from the calculation:
As for the density: 4.91 Mg/m³. As for the energy above the lowest structure with this stoichiometry: 0.0 meV/atom.

---

Record 2
An optimized crystal structure of TbSi2NiAg. Source: the Open Quantum Materials Database, functional PBE-GGA.

Cell: 5.8365 5.8365 5.8365 Å, 139.20 139.20 59.07°
With the nearest neighbours (Å) after each atom.
Atoms (fractional coordinates):
Ag  0.0000  0.0000  0.0000  4 Si 2.46
Ni  0.5000  0.5000  0.0000  4 Si 2.46
Si  0.6353  0.1353  0.5000  1 Si 2.33, 2 Ag 2.46, 2 Ni 2.46
Si  0.8647  0.3647  0.5000  1 Si 2.33, 2 Ni 2.46, 2 Ag 2.46
Tb  0.2500  0.7500  0.5000  8 Si 3.10, 4 Ni 3.25, 4 Ag 3.25

Values from the calculation:
As for the density: 7.54 Mg/m³. Its total energy is -5.330 eV per atom.